No. 1
Here is YSc2Sb2 after structural relaxation from the Alexandria database. Energies are from PBE-GGA.

VASP energy, eV/f.u.: -31.53
D(E_F), states/eV per cell: 8.9
Offset from the most stable computed form, eV per atom: 0.000

Cell lengths 8.006, 8.006, 3.943 Å; angles 90.00, 90.00, 90.00 degrees
Space group P4/mbm (No. 127)
Asymmetric unit:
Y: 0.000 0.000 0.000 (multiplicity 2)
Sc: 0.150 0.350 0.500 (multiplicity 4)
Sb: 0.148 0.648 0.000 (multiplicity 4)



No. 2
Here is AlZn2Ga after structural relaxation from the Alexandria database. Energies are from PBE-GGA.

VASP energy, eV/f.u.: -9.19
E_form, eV/atom: 0.032
D(E_F), states/eV per cell: 1.7
Offset from the most stable computed form, eV per atom: 0.006

Cell lengths 4.107, 4.103, 7.750 Å; angles 90.00, 90.00, 90.00 degrees
Space group Pmma (No. 51)
Asymmetric unit:
Al: 0.250 0.000 0.129 (multiplicity 2)
Zn: 0.250 0.000 0.617 (multiplicity 2)
Zn: 0.250 0.500 0.380 (multiplicity 2)
Ga: 0.250 0.500 0.869 (multiplicity 2)



No. 3
Here is MgCuAgSn2 after structural relaxation from the Alexandria database. Energies are from PBE-GGA.

VASP energy, eV/f.u.: -13.56
E_form, eV/atom: 0.598
D(E_F), states/eV per cell: 2.0

Cell lengths 5.285, 5.285, 5.046 Å; angles 90.00, 90.00, 90.00 degrees
Space group P4/mmm (No. 123)
Asymmetric unit:
Mg: 0.000 0.000 0.000 (multiplicity 1)
Cu: 0.500 0.500 0.000 (multiplicity 1)
Ag: 0.000 0.000 0.500 (multiplicity 1)
Sn: 0.000 0.500 0.500 (multiplicity 2)



No. 4
Here is Mn2TlSe4 after structural relaxation from the Alexandria database. Energies are from PBE-GGA.

VASP energy, eV/f.u.: -37.80
D(E_F), states/eV per cell: 3.7
Offset from the most stable computed form, eV per atom: 0.000

Cell lengths 6.250, 3.633, 7.939 Å; angles 90.00, 90.94, 90.00 degrees
Space group P2/m (No. 10)
Asymmetric unit:
Mn: 0.000 0.000 0.000 (multiplicity 1)
Mn: 0.500 0.500 0.000 (multiplicity 1)
Tl: 0.000 0.000 0.500 (multiplicity 1)
Se: 0.169 0.500 0.179 (multiplicity 2)
Se: 0.329 0.000 0.824 (multiplicity 2)



No. 5
Here is ErMgAlO4 after structural relaxation from the Alexandria database. Energies are from PBE-GGA.

VASP energy, eV/f.u.: -50.77
D(E_F), states/eV per cell: 0.0

Cell lengths 6.078, 6.295, 8.596 Å; angles 90.00, 90.00, 90.00 degrees
Space group Imma (No. 74)
Asymmetric unit:
Er: 0.000 0.000 0.000 (multiplicity 4)
Mg: 0.250 0.250 0.250 (multiplicity 4)
Al: 0.000 0.250 0.623 (multiplicity 4)
O: 0.000 0.004 0.741 (multiplicity 8)
O: 0.242 0.250 0.496 (multiplicity 8)



No. 6
Here is Pr2Er7Tm2 after structural relaxation from the Alexandria database. Energies are from PBE-GGA.

VASP energy, eV/f.u.: -48.68
E_form, eV/atom: 0.160
D(E_F), states/eV per cell: 35.1
Offset from the most stable computed form, eV per atom: 0.026

Cell lengths 11.235, 11.393, 6.016 Å; angles 90.00, 113.51, 90.00 degrees
Space group C2/m (No. 12)
Asymmetric unit:
Pr: 0.230 0.000 0.094 (multiplicity 4)
Er: 0.000 0.000 0.500 (multiplicity 2)
Er: 0.087 0.500 0.300 (multiplicity 4)
Er: 0.174 0.235 0.674 (multiplicity 8)
Tm: 0.000 0.219 0.000 (multiplicity 4)